(1)
First-principles (GGA-PBEsol) data for crystalline TePbAu2 at its relaxed geometry, as listed in Alexandria.

Cell and atoms, written as POSCAR:
```
TePbAu2
1.0
0.0000 3.5460 4.4435
3.1081 0.0000 4.4435
3.1081 3.5460 0.0000
Te Pb Au
1 1 2
direct
0.0000 0.0000 0.0000
0.5000 0.5000 0.5000
0.0000 0.5000 0.5000
0.5000 0.0000 0.0000
```

Computed properties:
The calculation puts the distance to the lowest polymorph of the same formula at 0.073 eV per atom. The value obtained for the uncorrected energy is -15.191 eV/cell. The value obtained for the volume is 24.49 Å³ per atom. As for the size of the total moment: 0.00 μB per formula unit. The calculation puts the energy relative to the elements, uncorrected at 0.045 eV per atom.

(2)
First-principles (GGA-PBEsol) data for crystalline Fe2AgBr at its relaxed geometry, as listed in Alexandria.

Cell and atoms, written as POSCAR:
```
Fe2AgBr
1.0
0.0000 3.1497 3.1497
3.1497 0.0000 3.1497
3.1497 3.1497 0.0000
Fe Ag Br
2 1 1
direct
0.0000 0.0000 0.0000
0.2500 0.2500 0.2500
0.7500 0.7500 0.7500
0.5000 0.5000 0.5000
```

Computed properties:
The calculation puts the distance to the lowest polymorph of the same formula at 0.256 eV per atom. The value obtained for the uncorrected energy is -19.615 eV/cell. The value obtained for the volume is 15.62 Å³ per atom. As for the size of the total moment: 5.54 μB per formula unit. The calculation puts the energy relative to the elements, uncorrected at 0.873 eV per atom.

(3)
First-principles (GGA-PBEsol) data for crystalline BeTe2O at its relaxed geometry, as listed in Alexandria.

Cell and atoms, written as POSCAR:
```
BeTe2O
1.0
0.0000 3.1538 3.1538
3.1538 0.0000 3.1538
3.1538 3.1538 0.0000
Be Te O
1 2 1
direct
0.0000 0.0000 0.0000
0.2500 0.2500 0.2500
0.7500 0.7500 0.7500
0.5000 0.5000 0.5000
```

Computed properties:
The calculation puts the distance to the lowest polymorph of the same formula at 0.348 eV per atom. The value obtained for the uncorrected energy is -15.064 eV/cell. The value obtained for the volume is 15.68 Å³ per atom. As for the size of the total moment: 0.00 μB per formula unit. The calculation puts the energy relative to the elements, uncorrected at 0.309 eV per atom.

(4)
First-principles (GGA-PBEsol) data for crystalline ZnC2N2 at its relaxed geometry, as listed in Alexandria.

Cell and atoms, written as POSCAR:
```
ZnC2N2
1.0
-1.5310 1.5310 5.1038
1.5310 -1.5310 5.1038
1.5310 1.5310 -5.1038
Zn C N
1 2 2
direct
0.0000 0.0000 0.0000
0.1947 0.1947 0.0000
0.8053 0.8053 0.0000
0.2500 0.7500 0.5000
0.7500 0.2500 0.5000
```

Computed properties:
The value obtained for the uncorrected energy is -30.255 eV/cell. The value obtained for the volume is 9.57 Å³ per atom. As for the size of the total moment: 0.00 μB per formula unit. The calculation puts the energy relative to the elements, uncorrected at 1.533 eV per atom.

(5)
First-principles (GGA-PBEsol) data for crystalline NaNbCu2S4 at its relaxed geometry, as listed in Alexandria.

Cell and atoms, written as POSCAR:
```
NaNbCu2S4
1.0
7.3215 0.0000 0.0000
0.0000 8.8771 2.7302
0.0000 -8.8771 2.7302
Na Nb Cu S
2 2 4 8
direct
0.2500 0.1719 0.8281
0.7500 0.8281 0.1719
0.2500 0.7588 0.9872
0.7500 0.9872 0.7588
0.0000 0.8544 0.8544
0.2500 0.2652 0.4789
0.5000 0.8544 0.8544
0.7500 0.4789 0.2652
0.0031 0.7285 0.5145
0.2500 0.1072 0.1164
0.2500 0.9203 0.3484
0.4969 0.7285 0.5145
0.5031 0.5145 0.7285
0.7500 0.1164 0.1072
0.7500 0.3484 0.9203
0.9969 0.5145 0.7285
```

Computed properties:
The value obtained for the uncorrected energy is -88.688 eV/cell. The value obtained for the volume is 22.18 Å³ per atom. As for the size of the total moment: 0.00 μB per formula unit. The calculation puts the energy relative to the elements, uncorrected at -0.740 eV per atom.

(6)
First-principles (GGA-PBEsol) data for crystalline Cu2AsPt at its relaxed geometry, as listed in Alexandria.

Cell and atoms, written as POSCAR:
```
Cu2AsPt
1.0
1.4095 0.8138 8.0496
-1.4095 0.8138 8.0496
0.0000 -1.6275 8.0496
Cu As Pt
2 1 1
direct
0.2482 0.2482 0.2482
0.7518 0.7518 0.7518
0.5000 0.5000 0.5000
0.0000 0.0000 0.0000
```

Computed properties:
The value obtained for the uncorrected energy is -20.555 eV/cell. The value obtained for the volume is 13.85 Å³ per atom. The value obtained for the energy relative to the elements is 0.05 eV/atom. As for the size of the total moment: 0.00 μB per formula unit.